## HoUTl (PBE)

Data for HoUTl after structural relaxation.

The space group is Cmcm (No. 63) and the conventional cell measures 3.3342, 19.3544 and 4.8637 Å, with angles of 90.00, 90.00 and 90.00 degrees. The inequivalent atoms are Ho at (0.0000, 0.1245, 0.2500), U at (0.0000, 0.4738, 0.2500) and Tl at (0.0000, 0.2972, 0.2500).

Its density of states at the Fermi level is 1.569 states/eV/atom. The calculation puts the mass density at 12.85 Mg/m³. The value obtained for the energy is -5.9681 eV per atom. The formation energy is 0.109 eV per atom.

## HoPt2Au (PBE)

Data for HoPt2Au after structural relaxation.

The space group is Fm-3m (No. 225) and the conventional cell measures 6.6865, 6.6865 and 6.6865 Å, with angles of 90.00, 90.00 and 90.00 degrees. The inequivalent atoms are Ho at (0.0000, 0.0000, 0.0000), Pt at (0.2500, 0.2500, 0.2500) and Au at (0.0000, 0.0000, 0.5000).

Its density of states at the Fermi level is 0.632 states/eV/atom. The calculation puts the mass density at 16.71 Mg/m³. The value obtained for the energy is -5.7348 eV per atom. The formation energy is -0.751 eV per atom.

## Cs2ZrCoSe4 (PBE)

Data for Cs2ZrCoSe4 after structural relaxation.

The space group is Fddd (No. 70, origin choice 2) and the conventional cell measures 6.0494, 14.8499 and 26.5901 Å, with angles of 90.00, 90.00 and 90.00 degrees. The inequivalent atoms are Cs at (0.1250, 0.1250, 0.3018), Zr at (0.1250, 0.1250, 0.1250), Co at (0.1250, 0.1250, 0.6250) and Se at (0.1097, 0.2801, 0.8231).

The uncorrected formation energy comes out at -100.5 kJ per mole of atoms. Its density of states at the Fermi level is 0.265 states/eV/atom. The calculation puts the mass density at 4.07 Mg/m³. The value obtained for the energy is -4.9538 eV per atom.

## Tl2ZnGeO4 (PBE)

Data for Tl2ZnGeO4 after structural relaxation.

The space group is Fddd (No. 70, origin choice 2) and the conventional cell measures 5.3431, 11.7240 and 20.2565 Å, with angles of 90.00, 90.00 and 90.00 degrees. The inequivalent atoms are Tl at (0.1250, 0.1250, 0.3097), Zn at (0.1250, 0.1250, 0.1250), Ge at (0.1250, 0.1250, 0.6250) and O at (0.0969, 0.2817, 0.8354).

The uncorrected formation energy comes out at -106.2 kJ per mole of atoms. Its density of states at the Fermi level is 0.000 states/eV/atom. The calculation puts the mass density at 6.39 Mg/m³. The value obtained for the energy is -4.9081 eV per atom.

## Ca3SmU2P6 (PBE)

Data for Ca3SmU2P6 after structural relaxation.

The space group is C2/m (No. 12) and the conventional cell measures 7.0480, 12.2025 and 7.0470 Å, with angles of 90.00, 109.49 and 90.00 degrees. The inequivalent atoms are Ca at (0.0000, 0.0000, 0.0000), Ca at (0.0000, 0.3361, 0.0000), Sm at (0.0000, 0.5000, 0.5000), U at (0.0000, 0.1670, 0.5000), P at (0.2297, 0.0000, 0.7294) and P at (0.2500, 0.1736, 0.2716).

Its density of states at the Fermi level is 1.102 states/eV/atom. The calculation puts the mass density at 5.42 Mg/m³. The value obtained for the energy is -6.6414 eV per atom. The formation energy is -1.161 eV per atom.

## TaNiAg2Sn (PBE)

Data for TaNiAg2Sn after structural relaxation.

The space group is P4/mmm (No. 123) and the conventional cell measures 4.9834, 4.9834 and 5.2816 Å, with angles of 90.00, 90.00 and 90.00 degrees. The inequivalent atoms are Ta at (0.0000, 0.0000, 0.0000), Ni at (0.5000, 0.5000, 0.0000), Ag at (0.0000, 0.5000, 0.5000) and Sn at (0.0000, 0.0000, 0.5000).

Its density of states at the Fermi level is 1.195 states/eV/atom. The calculation puts the mass density at 7.27 Mg/m³. The value obtained for the energy is -3.8801 eV per atom. The formation energy is 1.588 eV per atom.

## NdErTlZn (PBE)

Data for NdErTlZn after structural relaxation.

The space group is F-43m (No. 216) and the conventional cell measures 7.4913, 7.4913 and 7.4913 Å, with angles of 90.00, 90.00 and 90.00 degrees. The inequivalent atoms are Nd at (0.0000, 0.0000, 0.0000), Er at (0.0000, 0.0000, 0.5000), Tl at (0.2500, 0.2500, 0.2500) and Zn at (0.2500, 0.2500, 0.7500).

Its density of states at the Fermi level is 1.090 states/eV/atom. The relative energy among the computed polymorphs comes out at 32 meV/atom. The calculation puts the mass density at 9.18 Mg/m³. The value obtained for the energy is -3.5588 eV per atom. The formation energy is -0.316 eV per atom.

## NpH2F6 (PBE)

Data for NpH2F6 after structural relaxation.

The space group is C2/c (No. 15) and the conventional cell measures 10.8166, 7.4949 and 5.7589 Å, with angles of 90.00, 112.57 and 90.00 degrees. The inequivalent atoms are Np at (0.0000, 0.1707, 0.2500), H at (0.1238, 0.4401, 0.9952), F at (0.1113, 0.3017, 0.0100), F at (0.1152, 0.0429, 0.6366) and F at (0.1313, 0.3919, 0.4692).

Its density of states at the Fermi level is 0.383 states/eV/atom. The calculation puts the mass density at 5.44 Mg/m³. The value obtained for the energy is -6.0247 eV per atom.